Compound: Pr3Cu3Ir2
Source: Alexandria
Functional: PBE
Structure: optimized geometry

Output
- energy of formation from the pure elements (eV per formula unit) = -2.954
- uncorrected energy (eV per atom) = -5.913
- calculated density (g/cm³) = 9.36

Lattice parameters (Å, degrees): 4.2636 5.7302 15.6148 90.00 90.00 111.84
Closest atoms and distances in Å follow each position.
Element x y z (fractional)
Cu: 0.5790 0.1580 0.0552  1 Cu 2.41, 2 Ir 2.52
Cu: 0.4210 0.8420 0.5552  1 Cu 2.41, 2 Ir 2.52
Cu: 0.6967 0.3935 0.7500  2 Ir 2.54
Cu: 0.5790 0.1580 0.4448  1 Cu 2.41, 2 Ir 2.52
Cu: 0.4210 0.8420 0.9448  1 Cu 2.41, 2 Ir 2.52
Cu: 0.3033 0.6065 0.2500  2 Ir 2.54
Pr: 0.1345 0.2691 0.9152  4 Ir 3.05-3.24, 7 Cu 3.08-3.41
Pr: 0.4087 0.8174 0.7500  5 Cu 3.05-3.10, 4 Ir 3.08
Pr: 0.8655 0.7309 0.4152  4 Ir 3.05-3.24, 7 Cu 3.08-3.41
Pr: 0.5913 0.1826 0.2500  5 Cu 3.05-3.10, 4 Ir 3.08
Pr: 0.8655 0.7309 0.0848  4 Ir 3.05-3.24, 7 Cu 3.08-3.41
Pr: 0.1345 0.2691 0.5848  4 Ir 3.05-3.24, 7 Cu 3.08-3.41
Ir: 0.8340 0.6681 0.6170  3 Cu 2.52-2.54
Ir: 0.1659 0.3319 0.3830  3 Cu 2.52-2.54
Ir: 0.8340 0.6681 0.8830  3 Cu 2.52-2.54
Ir: 0.1659 0.3319 0.1170  3 Cu 2.52-2.54